1.
A plane-wave DFT calculation with GGA-PBEsol was carried out for NaMoSCl2 after structural relaxation.

Results
The calculation puts the energy relative to the elements, uncorrected at -0.700 eV per atom. As for the symmetry: P4/mmm (123). The crystal system is tetragonal. The energy above the most stable polymorph in this dataset is 0 meV/atom.

Geometry as POSCAR:
```
NaMoSCl2
1.0
4.569 0.000 0.000
0.000 4.929 0.000
0.000 0.000 4.929
Na Mo S Cl
1 1 1 2
Direct
0.500 0.500 0.500
0.000 0.000 0.000
0.500 0.000 0.000
0.000 0.000 0.500
0.000 0.500 0.000
```

***

2.
A plane-wave DFT calculation with GGA-PBEsol was carried out for Co2SeBr after structural relaxation.

Results
The calculation puts the energy relative to the elements, uncorrected at 0.514 eV per atom. As for the symmetry: Fm-3m (225). The crystal system is cubic. The energy above the most stable polymorph in this dataset is 555 meV/atom.

Geometry as POSCAR:
```
Co2SeBr
1.0
-0.933 1.558 3.868
-3.611 -1.172 1.962
0.160 -2.550 3.425
Co Se Br
2 1 1
Direct
0.250 0.250 0.250
0.750 0.750 0.750
0.500 0.500 0.500
0.000 0.000 0.000
```

***

3.
A plane-wave DFT calculation with GGA-PBEsol was carried out for HgIr2Au after structural relaxation.

Results
As for the calculated total energy: -5.46 eV per atom. As for the symmetry: I4/mmm (139). The crystal system is tetragonal.

Geometry as POSCAR:
```
HgIr2Au
1.0
4.048 0.000 0.000
0.000 4.048 0.000
-2.024 -2.024 3.909
Au Hg Ir
1 1 2
Direct
0.500 0.500 0.000
0.000 0.000 0.000
0.750 0.250 0.500
0.250 0.750 0.500
```

***

4.
A plane-wave DFT calculation with GGA-PBEsol was carried out for BaRuO5 after structural relaxation.

Results
The calculation puts the energy relative to the elements, uncorrected at -1.322 eV per atom. As for the symmetry: R-3c (167). The crystal system is trigonal.

Geometry as POSCAR:
```
BaRuO5
1.0
9.564 0.000 0.000
4.782 8.283 0.000
4.782 2.761 8.637
Ba Ru O
6 6 30
Direct
0.000 0.000 0.000
0.500 0.500 0.500
0.837 0.837 0.490
0.337 0.337 0.990
0.163 0.163 0.510
0.663 0.663 0.010
0.750 0.105 0.750
0.105 0.395 0.750
0.395 0.750 0.750
0.895 0.605 0.250
0.605 0.250 0.250
0.250 0.895 0.250
0.750 0.921 0.750
0.921 0.579 0.750
0.579 0.750 0.750
0.079 0.421 0.250
0.421 0.250 0.250
0.250 0.079 0.250
0.814 0.252 0.571
0.252 0.364 0.571
0.364 0.814 0.571
0.864 0.752 0.071
0.752 0.314 0.071
0.314 0.864 0.071
0.186 0.748 0.429
0.748 0.636 0.429
0.636 0.186 0.429
0.136 0.248 0.929
0.248 0.686 0.929
0.686 0.136 0.929
0.967 0.998 0.752
0.998 0.283 0.752
0.283 0.967 0.752
0.783 0.498 0.252
0.498 0.467 0.252
0.467 0.783 0.252
0.033 0.002 0.248
0.002 0.717 0.248
0.717 0.033 0.248
0.217 0.502 0.748
0.502 0.533 0.748
0.533 0.217 0.748
```

***

5.
A plane-wave DFT calculation with GGA-PBEsol was carried out for TaPtCl2 after structural relaxation.

Results
The calculation puts the energy relative to the elements, uncorrected at 0.116 eV per atom. As for the symmetry: C2/m (12). The crystal system is monoclinic. The energy above the most stable polymorph in this dataset is 0 meV/atom.

Geometry as POSCAR:
```
TaPtCl2
1.0
2.991 0.010 0.000
-0.464 5.123 0.000
-1.263 -2.566 4.269
Cl Pt Ta
2 1 1
Direct
0.000 0.000 0.500
0.500 0.500 0.500
0.000 0.000 0.000
0.500 0.500 0.000
```

***

6.
A plane-wave DFT calculation with GGA-PBEsol was carried out for HWN2O after structural relaxation.

Results
As for the calculated total energy: -7.48 eV per atom. As for the symmetry: P4/mmm (123). The crystal system is tetragonal.

Geometry as POSCAR:
```
HWN2O
1.0
-1.521 1.849 -2.980
-1.721 -3.349 -1.200
-3.191 0.865 2.165
H O W N
1 1 1 2
Direct
0.500 0.500 0.500
0.500 0.000 0.000
0.000 0.000 0.000
0.000 0.000 0.500
0.000 0.500 0.000
```

***

7.
A plane-wave DFT calculation with GGA-PBEsol was carried out for Zr2AlPt after structural relaxation.

Results
As for the calculated total energy: -8.03 eV per atom. As for the symmetry: Amm2 (38). The crystal system is orthorhombic.

Geometry as POSCAR:
```
Zr2AlPt
1.0
3.385 0.000 0.000
0.000 4.222 0.000
-1.692 0.000 5.265
Pt Zr Al
1 2 1
Direct
0.679 0.500 0.357
0.099 0.000 0.198
0.405 0.500 0.811
0.827 0.000 0.654
```

***

8.
A plane-wave DFT calculation with GGA-PBEsol was carried out for NiHPd3 after structural relaxation.

Results
As for the calculated total energy: -5.47 eV per atom. As for the symmetry: Pm-3m (221). The crystal system is cubic.

Geometry as POSCAR:
```
NiHPd3
1.0
-1.349 -3.341 1.388
2.394 -1.935 -2.332
2.713 0.045 2.747
Ni Pd H
1 3 1
Direct
0.500 0.500 0.500
0.000 0.500 0.000
0.000 0.000 0.500
0.500 0.000 0.000
0.000 0.000 0.000
```

***

9.
A plane-wave DFT calculation with GGA-PBEsol was carried out for Mn3O2F4 after structural relaxation.

Results
The calculation puts the energy relative to the elements, uncorrected at -2.027 eV per atom. As for the symmetry: Pnnm (58). The crystal system is orthorhombic. The energy above the most stable polymorph in this dataset is 3 meV/atom.

Geometry as POSCAR:
```
Mn3O2F4
1.0
-0.374 2.963 0.728
-3.346 0.410 -3.388
-9.975 -3.576 9.419
Mn O F
6 4 8
Direct
0.000 0.928 0.843
0.000 0.072 0.157
0.000 0.000 0.500
0.500 0.500 0.000
0.500 0.572 0.343
0.500 0.428 0.657
0.500 0.236 0.098
0.000 0.264 0.598
0.000 0.736 0.402
0.500 0.764 0.902
0.500 0.210 0.435
0.500 0.127 0.772
0.000 0.290 0.935
0.000 0.373 0.272
0.000 0.710 0.065
0.000 0.627 0.728
0.500 0.873 0.228
0.500 0.790 0.565
```

***

10.
A plane-wave DFT calculation with GGA-PBEsol was carried out for NaNd3 after structural relaxation.

Results
As for the calculated total energy: -3.97 eV per atom. As for the symmetry: Pm-3m (221). The crystal system is cubic.

Geometry as POSCAR:
```
NaNd3
1.0
5.062 0.000 0.000
0.000 5.062 0.000
0.000 0.000 5.062
Na Nd
1 3
Direct
0.500 0.500 0.500
0.500 0.000 0.000
0.000 0.500 0.000
0.000 0.000 0.500
```

***

11.
A plane-wave DFT calculation with GGA-PBEsol was carried out for BCI2 after structural relaxation.

Results
The calculation puts the energy relative to the elements, uncorrected at 2.143 eV per atom. As for the symmetry: I-42d (122). The crystal system is tetragonal.

Geometry as POSCAR:
```
BCI2
1.0
-0.736 2.876 -3.892
3.011 -2.810 -2.645
-6.583 -4.045 1.334
I C B
4 2 2
Direct
0.371 0.875 0.250
0.879 0.375 0.250
0.125 0.121 0.750
0.625 0.629 0.750
0.250 0.750 0.500
0.000 0.000 0.000
0.750 0.250 0.500
0.500 0.500 0.000
```

***

12.
A plane-wave DFT calculation with GGA-PBEsol was carried out for YTmRh2 after structural relaxation.

Results
As for the calculated total energy: -7.87 eV per atom. As for the symmetry: Fm-3m (225). The crystal system is cubic.

Geometry as POSCAR:
```
YTmRh2
1.0
4.740 0.000 0.000
2.370 4.105 0.000
2.370 1.368 3.870
Y Tm Rh
1 1 2
Direct
0.000 0.000 0.000
0.500 0.500 0.500
0.250 0.250 0.250
0.750 0.750 0.750
```

***

13.
A plane-wave DFT calculation with GGA-PBEsol was carried out for MnReSnRu2 after structural relaxation.

Results
As for the calculated total energy: -7.89 eV per atom. As for the symmetry: P4/mmm (123). The crystal system is tetragonal.

Geometry as POSCAR:
```
MnReSnRu2
1.0
4.637 0.000 0.000
0.000 4.637 0.000
0.000 0.000 4.984
Re Mn Sn Ru
1 1 1 2
Direct
0.000 0.000 0.000
0.500 0.500 0.500
0.000 0.000 0.500
0.000 0.500 0.000
0.500 0.000 0.000
```

***

14.
A plane-wave DFT calculation with GGA-PBEsol was carried out for TmAgS2 after structural relaxation.

Results
The calculation puts the energy relative to the elements, uncorrected at -1.323 eV per atom. As for the symmetry: I4_1md (109). The crystal system is tetragonal.

Geometry as POSCAR:
```
TmAgS2
1.0
-0.999 -5.043 1.218
-0.061 -1.228 -5.138
6.283 2.043 2.154
S Tm Ag
4 2 2
Direct
0.263 0.763 0.525
0.013 0.013 0.025
0.720 0.220 0.441
0.470 0.470 0.941
0.493 0.993 0.987
0.243 0.243 0.487
0.039 0.539 0.078
0.789 0.789 0.578
```

***

15.
A plane-wave DFT calculation with GGA-PBEsol was carried out for Lu2Te5O13 after structural relaxation.

Results
The calculation puts the energy relative to the elements, uncorrected at -1.780 eV per atom. As for the symmetry: P-1 (2). The crystal system is triclinic.

Geometry as POSCAR:
```
Lu2Te5O13
1.0
6.764 -0.025 -0.004
2.249 8.201 0.013
0.554 0.130 10.334
Lu Te O
4 10 26
Direct
0.996 0.259 0.761
0.553 0.535 0.182
0.004 0.741 0.239
0.447 0.465 0.818
0.865 0.650 0.902
0.559 0.092 0.695
0.135 0.350 0.098
0.708 0.118 0.033
0.441 0.908 0.305
0.734 0.600 0.524
0.844 0.199 0.365
0.292 0.882 0.967
0.156 0.801 0.635
0.266 0.400 0.476
0.522 0.326 0.000
0.678 0.772 0.223
0.937 0.983 0.305
0.664 0.484 0.385
0.237 0.505 0.183
0.032 0.354 0.564
0.056 0.819 0.037
0.666 0.266 0.225
0.931 0.727 0.718
0.870 0.512 0.098
0.478 0.674 0.000
0.944 0.181 0.963
0.063 0.017 0.695
0.968 0.646 0.436
0.322 0.228 0.777
0.351 0.991 0.122
0.763 0.495 0.817
0.315 0.736 0.291
0.336 0.516 0.615
0.334 0.734 0.775
0.454 0.191 0.513
0.069 0.273 0.282
0.130 0.488 0.902
0.685 0.264 0.709
0.546 0.809 0.487
0.649 0.009 0.878
```

***

16.
A plane-wave DFT calculation with GGA-PBEsol was carried out for MgRePb2O6 after structural relaxation.

Results
The calculation puts the energy relative to the elements, uncorrected at -1.634 eV per atom. As for the symmetry: Fm-3m (225). The crystal system is cubic.

Geometry as POSCAR:
```
MgRePb2O6
1.0
-5.518 0.643 -0.780
-3.067 -4.257 -1.985
-3.634 -2.644 3.358
Mg Re Pb O
1 1 2 6
Direct
0.500 0.500 0.500
0.000 0.000 0.000
0.250 0.250 0.250
0.750 0.750 0.750
0.759 0.241 0.241
0.241 0.759 0.759
0.759 0.241 0.759
0.241 0.759 0.241
0.759 0.759 0.241
0.241 0.241 0.759
```

***

17.
A plane-wave DFT calculation with GGA-PBEsol was carried out for OsC4Cl2O4 after structural relaxation.

Results
The calculation puts the energy relative to the elements, uncorrected at -0.652 eV per atom. As for the symmetry: C2/c (15). The crystal system is monoclinic.

Geometry as POSCAR:
```
OsC4Cl2O4
1.0
-1.962 -5.777 -1.368
6.212 0.575 -0.419
0.215 -2.050 11.871
Os C Cl O
2 8 4 8
Direct
0.567 0.433 0.250
0.433 0.567 0.750
0.786 0.399 0.155
0.601 0.214 0.345
0.214 0.601 0.845
0.308 0.187 0.158
0.692 0.813 0.842
0.187 0.308 0.658
0.399 0.786 0.655
0.813 0.692 0.342
0.275 0.472 0.362
0.472 0.275 0.862
0.725 0.528 0.638
0.528 0.725 0.138
0.961 0.845 0.392
0.039 0.155 0.608
0.845 0.961 0.892
0.084 0.624 0.903
0.376 0.916 0.597
0.155 0.039 0.108
0.916 0.376 0.097
0.624 0.084 0.403
```

***

18.
A plane-wave DFT calculation with GGA-PBEsol was carried out for Ca2YBeO5 after structural relaxation.

Results
The calculation puts the energy relative to the elements, uncorrected at -2.904 eV per atom. As for the symmetry: Pnma (62). The crystal system is orthorhombic.

Geometry as POSCAR:
```
Ca2YBeO5
1.0
-4.337 3.907 -2.301
-4.932 -3.207 3.849
1.572 5.753 6.807
Ca Y Be O
8 4 4 20
Direct
0.411 0.476 0.826
0.589 0.524 0.174
0.911 0.524 0.674
0.589 0.976 0.174
0.089 0.476 0.326
0.411 0.024 0.826
0.089 0.024 0.326
0.911 0.976 0.674
0.903 0.250 0.972
0.097 0.750 0.028
0.403 0.750 0.528
0.597 0.250 0.472
0.190 0.250 0.602
0.810 0.750 0.398
0.690 0.750 0.898
0.310 0.250 0.102
0.129 0.250 0.777
0.871 0.750 0.223
0.629 0.750 0.723
0.371 0.250 0.277
0.673 0.250 0.726
0.327 0.750 0.274
0.173 0.750 0.774
0.827 0.250 0.226
0.315 0.443 0.564
0.685 0.557 0.436
0.815 0.557 0.936
0.685 0.943 0.436
0.185 0.443 0.064
0.315 0.057 0.564
0.185 0.057 0.064
0.815 0.943 0.936
0.965 0.250 0.509
0.035 0.750 0.491
0.465 0.750 0.991
0.535 0.250 0.009
```

***

19.
A plane-wave DFT calculation with GGA-PBEsol was carried out for Zn3As2O6 after structural relaxation.

Results
The calculation puts the energy relative to the elements, uncorrected at -1.355 eV per atom. As for the symmetry: Pbam (55). The crystal system is orthorhombic. The energy above the most stable polymorph in this dataset is 0 meV/atom.

Geometry as POSCAR:
```
Zn3As2O6
1.0
-0.285 1.736 5.881
-7.664 -1.740 0.142
3.124 -13.423 4.115
Zn As O
12 8 24
Direct
0.000 0.315 0.500
0.500 0.685 0.000
0.000 0.685 0.500
0.500 0.315 0.000
0.564 0.785 0.778
0.064 0.215 0.722
0.436 0.785 0.222
0.936 0.215 0.278
0.064 0.785 0.722
0.564 0.215 0.778
0.936 0.785 0.278
0.436 0.215 0.222
0.914 0.500 0.875
0.414 0.500 0.625
0.086 0.500 0.125
0.586 0.500 0.375
0.223 0.000 0.903
0.723 0.000 0.597
0.777 0.000 0.097
0.277 0.000 0.403
0.589 0.175 0.104
0.089 0.825 0.396
0.411 0.175 0.896
0.911 0.825 0.604
0.411 0.825 0.896
0.911 0.175 0.604
0.589 0.825 0.104
0.089 0.175 0.396
0.655 0.323 0.301
0.155 0.677 0.199
0.345 0.323 0.699
0.845 0.677 0.801
0.345 0.677 0.699
0.845 0.323 0.801
0.655 0.677 0.301
0.155 0.323 0.199
0.160 0.000 0.781
0.660 0.000 0.719
0.840 0.000 0.219
0.340 0.000 0.281
0.332 0.500 0.059
0.832 0.500 0.441
0.668 0.500 0.941
0.168 0.500 0.559
```